RbNp4Te6 | PBE | relaxed

The total energy is -7.157 eV per atom. For the total magnetization, the calculation gives 0.74 μB per formula unit.

abc: 4.4758 14.6968 23.3613
angles: 90.00 90.00 90.00
With the nearest neighbours (Å) after each atom.
Space group Cmcm (No. 63)
Symmetry-distinct sites (fractional):
1 Rb 0.0000 0.1672 0.2500  6 Te 3.59-3.66
2 Np 0.0000 0.0925 0.6258  6 Te 2.99-3.24
3 Np 0.0000 0.3624 0.5375  6 Te 3.07-3.16
4 Te 0.0000 0.0000 0.0000  6 Np 3.14-3.24
5 Te 0.0000 0.1416 0.7500  2 Np 2.99
6 Te 0.0000 0.2682 0.0839  5 Np 3.14-3.19
7 Te 0.0000 0.4580 0.6545  3 Np 3.06-3.07

***

Rb4NpTe4 | PBE | relaxed

The total energy is -4.059 eV per atom. For the total magnetization, the calculation gives 3.00 μB per formula unit.

abc: 8.7514 8.7514 14.8121
angles: 90.00 90.00 90.00
With the nearest neighbours (Å) after each atom.
Space group I-42m (No. 121)
Symmetry-distinct sites (fractional):
1 Rb 0.0000 0.0000 0.2009  4 Te 3.68-3.98
2 Rb 0.0000 0.5000 0.0000  4 Te 3.57
3 Np 0.0000 0.0000 0.5000  4 Te 2.95
4 Te 0.1967 0.1967 0.6124  1 Np 2.95

***

RbNp2Te4 | PBE | relaxed

The total energy is -6.365 eV per atom. Its energy above the most stable polymorph in this dataset is 0 meV/atom. For the total magnetization, the calculation gives 7.00 μB per formula unit.

abc: 4.4983 14.8812 15.5049
angles: 90.00 90.00 90.00
With the nearest neighbours (Å) after each atom.
Space group Cmcm (No. 63)
Symmetry-distinct sites (fractional):
1 Rb 0.0000 0.1027 0.2500  6 Te 3.62-3.69
2 Np 0.0000 0.3654 0.0625  6 Te 2.99-3.16
3 Te 0.0000 0.0000 0.0000  4 Np 3.16
4 Te 0.0000 0.2643 0.6106  3 Np 3.06-3.08
5 Te 0.0000 0.4119 0.2500  2 Np 2.99

***

RbNpTe4 | PBE | relaxed

The total energy is -4.921 eV per atom. Its energy above the most stable polymorph in this dataset is 126 meV/atom. For the total magnetization, the calculation gives 2.24 μB per formula unit.

abc: 15.8320 7.8782 8.0261
angles: 90.00 96.87 90.00
With the nearest neighbours (Å) after each atom.
Space group C2/m (No. 12)
Symmetry-distinct sites (fractional):
1 Rb 0.1991 0.0000 0.1893  9 Te 3.86-4.26
2 Np 0.0408 0.5000 0.2718  5 Te 2.90-3.08
3 Te 0.0000 0.2472 0.0000  2 Np 2.97
4 Te 0.0864 0.2423 0.5569  1 Te 2.78, 1 Np 3.08
5 Te 0.2229 0.5000 0.2568  1 Np 2.90

***

Rb2NpTe4 | PBE | relaxed

The total energy is -4.542 eV per atom. For the total magnetization, the calculation gives 1.29 μB per formula unit.

abc: 7.6405 4.5993 9.5866
angles: 90.00 111.33 90.00
With the nearest neighbours (Å) after each atom.
Space group P2/m (No. 10)
Symmetry-distinct sites (fractional):
1 Rb 0.2188 0.0000 0.3462  6 Te 3.66-3.85
2 Np 0.5000 0.5000 0.0000  6 Te 2.89-3.00
3 Te 0.2353 0.0000 0.9639  2 Np 3.00
4 Te 0.3885 0.5000 0.6776  1 Np 2.89

***

RbNpTe | PBE | relaxed

The total energy is -5.965 eV per atom. For the total magnetization, the calculation gives 0.23 μB per formula unit.

abc: 4.0202 4.0202 44.7954
angles: 90.00 90.00 120.00
With the nearest neighbours (Å) after each atom.
Space group R-3m (No. 166, hexagonal axes)
Symmetry-distinct sites (fractional):
1 Rb 0.0000 0.0000 0.1167  3 Te 3.53
2 Np 0.0000 0.0000 0.3443  3 Np 2.52
3 Te 0.0000 0.0000 0.2759  4 Np 3.06-3.12

***

RbNp2Te4 | PBE | relaxed

The total energy is -6.328 eV per atom. Its energy above the most stable polymorph in this dataset is 37 meV/atom. For the total magnetization, the calculation gives 0.04 μB per formula unit.

abc: 9.3374 9.4570 13.2719
angles: 90.00 90.00 90.00
With the nearest neighbours (Å) after each atom.
Space group Imma (No. 74)
Symmetry-distinct sites (fractional):
1 Rb 0.2500 0.2500 0.2500  6 Te 3.55-3.56
2 Np 0.0000 0.0000 0.0000  6 Te 3.14-3.16
3 Np 0.2500 0.2500 0.7500  6 Te 3.11
4 Te 0.0000 0.0331 0.7629  3 Np 3.11-3.16
5 Te 0.2201 0.2500 0.9837  3 Np 3.11-3.14

***

Rb4NpTe5 | PBE | relaxed

The total energy is -3.989 eV per atom. For the total magnetization, the calculation gives 1.50 μB per formula unit.

abc: 12.1439 12.1439 6.0166
angles: 90.00 90.00 90.00
With the nearest neighbours (Å) after each atom.
Space group I4/mmm (No. 139)
Symmetry-distinct sites (fractional):
1 Rb 0.0000 0.2811 0.0000  1 Te 3.41
2 Np 0.0000 0.0000 0.5000  6 Te 2.98-3.01
3 Te 0.0000 0.0000 0.0000  2 Np 3.01
4 Te 0.1734 0.1734 0.5000  1 Np 2.98

***

Rb5NpTe5 | PBE | relaxed

The total energy is -3.878 eV per atom. For the total magnetization, the calculation gives 1.99 μB per formula unit.

abc: 16.8049 6.7913 9.9203
angles: 90.00 109.25 90.00
With the nearest neighbours (Å) after each atom.
Space group C2/m (No. 12)
Symmetry-distinct sites (fractional):
1 Rb 0.0000 0.0000 0.0000  4 Te 3.49-3.61
2 Rb 0.1759 0.5000 0.3471  5 Te 3.49-3.79
3 Rb 0.1981 0.5000 0.8108  4 Te 3.53-3.77
4 Np 0.0000 0.0000 0.5000  4 Te 2.98-3.03
5 Te 0.0000 0.5000 0.5000  2 Np 3.40, 4 Rb 3.72-3.74
6 Te 0.1302 0.0000 0.3563  1 Np 2.98
7 Te 0.1379 0.0000 0.7881  1 Np 3.03

***

RbNpTe4 | PBE | relaxed

The total energy is -5.046 eV per atom. Its energy above the most stable polymorph in this dataset is 0 meV/atom. For the total magnetization, the calculation gives 4.00 μB per formula unit.

abc: 6.8706 6.8706 9.2523
angles: 90.00 90.00 90.00
With the nearest neighbours (Å) after each atom.
Space group P4/nbm (No. 125, origin choice 2)
Symmetry-distinct sites (fractional):
1 Rb 0.2500 0.2500 0.0000  8 Te 3.83
2 Np 0.2500 0.2500 0.5000  8 Te 3.20
3 Te 0.1017 0.6017 0.3016  1 Te 2.88, 2 Np 3.20

***

Rb3NpTe4 | PBE | relaxed

The total energy is -4.403 eV per atom. For the total magnetization, the calculation gives 2.00 μB per formula unit.

abc: 9.0372 10.1415 8.1725
angles: 90.00 109.56 90.00
With the nearest neighbours (Å) after each atom.
Space group P2/c (No. 13)
Symmetry-distinct sites (fractional):
1 Rb 0.0000 0.1113 0.2500  4 Te 3.57-3.58
2 Rb 0.0000 0.3849 0.7500  2 Te 3.54
3 Rb 0.5000 0.3863 0.2500  6 Te 3.64-3.66
4 Np 0.5000 0.1153 0.7500  6 Te 2.96-3.09
5 Te 0.2826 0.3201 0.5471  1 Np 2.96
6 Te 0.3118 0.0997 0.9988  2 Np 3.06-3.09

***

RbNp6Te12 | PBE | relaxed

The total energy is -6.659 eV per atom. For the total magnetization, the calculation gives 20.13 μB per formula unit.

abc: 14.5790 14.5790 10.7212
angles: 90.00 90.00 120.00
With the nearest neighbours (Å) after each atom.
Space group R-3m (No. 166, hexagonal axes)
Symmetry-distinct sites (fractional):
1 Rb 0.0000 0.0000 0.0000  6 Te 4.29
2 Np 0.0610 0.5305 0.2719  7 Te 3.06-3.19
3 Te 0.0000 0.3715 0.5000  4 Np 3.18-3.19
4 Te 0.0864 0.1729 0.3445  3 Np 3.06

***

Rb3Th2NpTe6 | PBE | relaxed

The total energy is -5.204 eV per atom. For the total magnetization, the calculation gives 5.47 μB per formula unit.

abc: 7.8836 13.6552 9.0861
angles: 90.00 106.80 90.00
With the nearest neighbours (Å) after each atom.
Space group C2/m (No. 12)
Symmetry-distinct sites (fractional):
1 Rb 0.0000 0.0000 0.0000  6 Te 3.65-3.66
2 Rb 0.0000 0.3335 0.0000  6 Te 3.65-3.66
3 Th 0.0000 0.1667 0.5000  6 Te 3.18
4 Np 0.0000 0.5000 0.5000  6 Te 3.20
5 Te 0.2344 0.0000 0.7074  2 Th 3.18, 1 Np 3.20
6 Te 0.2365 0.3326 0.7075  2 Th 3.18, 1 Np 3.20

***

Rb4ThNp3Te8 | PBE | relaxed

The total energy is -5.671 eV per atom. For the total magnetization, the calculation gives 13.01 μB per formula unit.

abc: 9.2043 9.2043 25.7229
angles: 90.00 90.00 120.00
With the nearest neighbours (Å) after each atom.
Space group R-3m (No. 166, hexagonal axes)
Symmetry-distinct sites (fractional):
1 Rb 0.0000 0.0000 0.0000  6 Te 3.69
2 Rb 0.0000 0.5000 0.0000  6 Te 3.67-3.70
3 Th 0.0000 0.0000 0.5000  6 Te 3.17
4 Np 0.0000 0.5000 0.5000  6 Te 3.16-3.19
5 Te 0.0000 0.0000 0.2334  3 Np 3.16
6 Te 0.0020 0.5010 0.2346  1 Th 3.17, 2 Np 3.19

***

Rb3Th3NpTe8 | PBE | relaxed

The total energy is -5.322 eV per atom. For the total magnetization, the calculation gives 4.90 μB per formula unit.

abc: 9.0131 9.0131 26.5193
angles: 90.00 90.00 120.00
With the nearest neighbours (Å) after each atom.
Space group R-3m (No. 166, hexagonal axes)
Symmetry-distinct sites (fractional):
1 Rb 0.0000 0.5000 0.0000  6 Te 3.65-3.70
2 Th 0.0000 0.5000 0.5000  6 Te 3.16-3.19
3 Np 0.0000 0.0000 0.5000  6 Te 3.19
4 Te 0.0000 0.0000 0.2366  3 Th 3.19
5 Te 0.0033 0.5016 0.7653  2 Th 3.16, 1 Np 3.19

***

Rb2Np2TiTe6 | PBE | relaxed

The total energy is -5.764 eV per atom. For the total magnetization, the calculation gives 8.00 μB per formula unit.

abc: 7.4852 12.8782 9.1894
angles: 90.00 106.69 90.00
With the nearest neighbours (Å) after each atom.
Space group C2/m (No. 12)
Symmetry-distinct sites (fractional):
1 Rb 0.0000 0.1724 0.0000  6 Te 3.65-3.71
2 Np 0.0000 0.3319 0.5000  6 Te 3.08-3.09
3 Ti 0.0000 0.0000 0.5000  6 Te 2.87-2.88
4 Te 0.2263 0.1543 0.6939  1 Ti 2.87, 2 Np 3.08-3.09
5 Te 0.2452 0.0000 0.3087  1 Ti 2.88, 2 Np 3.08

***

Rb3Np2TiTe6 | PBE | relaxed

The total energy is -5.474 eV per atom. For the total magnetization, the calculation gives 9.00 μB per formula unit.

abc: 7.6915 13.3254 8.9373
angles: 90.00 106.75 90.00
With the nearest neighbours (Å) after each atom.
Space group C2/m (No. 12)
Symmetry-distinct sites (fractional):
1 Rb 0.0000 0.0000 0.0000  6 Te 3.61-3.76
2 Rb 0.0000 0.3284 0.0000  6 Te 3.62-3.73
3 Np 0.0000 0.1661 0.5000  6 Te 3.12
4 Ti 0.0000 0.5000 0.5000  6 Te 2.93-2.94
5 Te 0.2218 0.3428 0.6943  1 Ti 2.93, 2 Np 3.12
6 Te 0.2484 0.5000 0.3039  1 Ti 2.94, 2 Np 3.12

***

Rb3Np2TlTe6 | PBE | relaxed

The total energy is -4.967 eV per atom. For the total magnetization, the calculation gives 5.99 μB per formula unit.

abc: 8.1427 14.0792 8.8248
angles: 90.00 107.94 90.00
With the nearest neighbours (Å) after each atom.
Space group C2/m (No. 12)
Symmetry-distinct sites (fractional):
1 Rb 0.0000 0.0000 0.0000  6 Te 3.55-3.80
2 Rb 0.0000 0.3449 0.0000  6 Te 3.61-3.82
3 Np 0.0000 0.1678 0.5000  6 Te 3.08-3.09
4 Tl 0.0000 0.5000 0.5000  6 Te 3.39-3.42
5 Te 0.2018 0.0000 0.6963  2 Np 3.09, 1 Tl 3.39
6 Te 0.2494 0.1827 0.2991  2 Np 3.08-3.09, 1 Tl 3.42

***

RbNpTlTe3 | PBE | relaxed

The total energy is -4.938 eV per atom. For the total magnetization, the calculation gives 3.18 μB per formula unit.

abc: 10.0369 4.5478 10.7145
angles: 90.00 102.91 90.00
With the nearest neighbours (Å) after each atom.
Space group P2_1/m (No. 11)
Symmetry-distinct sites (fractional):
1 Rb 0.1781 0.2500 0.2181  5 Te 3.67-3.93, 1 Tl 3.72
2 Np 0.3546 0.7500 0.8447  6 Te 2.98-3.12
3 Tl 0.1259 0.2500 0.5510  3 Te 3.12-3.14, 2 Tl 3.39
4 Te 0.1422 0.2500 0.8452  2 Np 3.12, 1 Tl 3.12
5 Te 0.3442 0.7500 0.5646  1 Np 2.98, 2 Tl 3.14
6 Te 0.4343 0.7500 0.1396  3 Np 3.08-3.09

***

RbNp2Tl3Te6 | PBE | relaxed

The total energy is -4.956 eV per atom. For the total magnetization, the calculation gives 6.06 μB per formula unit.

abc: 21.0469 4.5399 9.8206
angles: 90.00 103.17 90.00
With the nearest neighbours (Å) after each atom.
Space group C2/m (No. 12)
Symmetry-distinct sites (fractional):
1 Rb 0.0000 0.0000 0.0000  6 Te 3.53-3.71
2 Np 0.1749 0.5000 0.3393  6 Te 2.92-3.14
3 Tl 0.0000 0.0000 0.5000  6 Te 3.29-3.58
4 Tl 0.1606 0.5000 0.8312  5 Te 3.28-3.64
5 Te 0.0324 0.5000 0.2833  1 Np 2.92
6 Te 0.1743 0.0000 0.5594  3 Np 3.10-3.14
7 Te 0.1802 0.0000 0.1283  2 Np 3.09, 1 Tl 3.28